1.
## Ac2ZnHg (PBE-GGA)

Data for an optimized crystal structure of Ac2ZnHg.

Cell and atoms, written as POSCAR:
```
Ac2ZnHg
1.0
-0.077 -3.863 0.947
2.951 -0.691 -2.577
5.326 1.304 5.750
Zn Ac Hg
1 2 1
Direct
0.500 0.500 0.000
0.000 0.000 0.764
0.000 0.000 0.236
0.500 0.500 0.500
```

Calculated values
V (Å³ per cell): 126
Theoretical density (Mg/m³): 9.51
Formation energy from the elements (eV/atom): -0.36
Crystal system: tetragonal
Energy relative to the lowest polymorph listed for this composition (meV/atom): 0
Total energy (eV/atom): -2.8114
Total magnetic moment (Bohr magnetons per cell): 0.0


2.
## PaS6O2 (PBE-GGA)

Data for an optimized crystal structure of PaS6O2.

Cell and atoms, written as POSCAR:
```
PaS6O2
1.0
3.428 -0.221 -0.134
-0.794 8.362 -4.311
-0.038 -0.333 8.215
Pa S O
1 6 2
Direct
0.000 0.000 0.000
0.826 0.563 0.211
0.174 0.437 0.789
0.842 0.680 0.660
0.070 0.252 0.535
0.930 0.748 0.465
0.158 0.320 0.340
0.500 0.931 0.097
0.500 0.069 0.903
```

Calculated values
V (Å³ per cell): 229
Theoretical density (Mg/m³): 3.30
Crystal system: triclinic
Formation energy (no corrections) (eV/atom): -0.99
Total energy (eV/atom): -5.8985
Total magnetic moment (Bohr magnetons per cell): 0.0


3.
## Er2Ag3SnSe6 (PBE-GGA)

Data for an optimized crystal structure of Er2Ag3SnSe6.

Cell and atoms, written as POSCAR:
```
Er2Ag3SnSe6
1.0
4.092 0.000 0.000
0.000 7.944 0.416
-2.046 -2.181 8.794
Er Ag Sn Se
2 3 1 6
Direct
0.832 0.669 0.665
0.168 0.331 0.335
0.500 0.500 0.000
0.823 0.169 0.646
0.177 0.831 0.354
0.500 0.000 0.000
0.337 0.922 0.675
0.671 0.582 0.343
0.663 0.078 0.325
0.004 0.260 0.007
0.996 0.740 0.993
0.329 0.418 0.657
```

Calculated values
V (Å³ per cell): 290
Theoretical density (Mg/m³): 7.17
Crystal system: monoclinic
Formation energy (no corrections) (eV/atom): -0.85
Total energy (eV/atom): -4.4021
Total magnetic moment (Bohr magnetons per cell): 0.0


4.
## AlRu (PBE-GGA)

Data for an optimized crystal structure of AlRu.

Cell and atoms, written as POSCAR:
```
AlRu
1.0
-0.628 -0.003 -4.647
-0.882 -3.775 -2.637
-4.033 -0.907 -2.213
Ru Al
2 2
Direct
0.319 0.319 0.319
0.681 0.681 0.681
0.112 0.112 0.112
0.888 0.888 0.888
```

Calculated values
V (Å³ per cell): 63
Theoretical density (Mg/m³): 6.72
Formation energy from the elements (eV/atom): -0.22
Crystal system: trigonal
Total energy (eV/atom): -6.7322
Total magnetic moment (Bohr magnetons per cell): 0.0


Question: What is the theoretical density in the fourth record?
Answer: 6.72 Mg/m³